No. 1
First-principles (PBE-GGA) data for a relaxed Sm6CO12 crystal, as listed in Alexandria.

Results
Its total energy is -7.55 eV/atom. Its crystal system is trigonal. The value obtained for the mass density is 6.87 Mg/m³. The uncorrected formation energy is -2446 meV/atom.

Cell and atoms, written as CIF:
```
data_Sm6CO12
_space_group_name_H-M_alt 'P 1'
_space_group_IT_number 1
_cell_length_a 6.529
_cell_length_b 6.529
_cell_length_c 6.529
_cell_angle_alpha 98.88
_cell_angle_beta 98.88
_cell_angle_gamma 98.88
loop_
_space_group_symop_operation_xyz
'x,y,z'
loop_
_atom_site_label
_atom_site_type_symbol
_atom_site_fract_x
_atom_site_fract_y
_atom_site_fract_z
Sm1 Sm 0.104 0.800 0.643
Sm2 Sm 0.200 0.357 0.896
Sm3 Sm 0.357 0.896 0.200
Sm4 Sm 0.643 0.104 0.800
Sm5 Sm 0.800 0.643 0.104
Sm6 Sm 0.896 0.200 0.357
C1 C 0.500 0.500 0.500
O1 O 0.055 0.903 0.323
O2 O 0.097 0.677 0.945
O3 O 0.242 0.438 0.522
O4 O 0.323 0.055 0.903
O5 O 0.438 0.522 0.242
O6 O 0.478 0.758 0.562
O7 O 0.522 0.242 0.438
O8 O 0.562 0.478 0.758
O9 O 0.677 0.945 0.097
O10 O 0.758 0.562 0.478
O11 O 0.903 0.323 0.055
O12 O 0.945 0.097 0.677
```

=====

No. 2
First-principles (PBE-GGA) data for a relaxed Sm4CO4 crystal, as listed in Alexandria.

Results
Its total energy is -7.49 eV/atom. Its crystal system is tetragonal. The value obtained for the mass density is 6.41 Mg/m³. The uncorrected formation energy is -2166 meV/atom.

Cell and atoms, written as CIF:
```
data_Sm4CO4
_space_group_name_H-M_alt 'P 1'
_space_group_IT_number 1
_cell_length_a 6.676
_cell_length_b 6.676
_cell_length_c 6.676
_cell_angle_alpha 128.86
_cell_angle_beta 128.86
_cell_angle_gamma 75.24
loop_
_space_group_symop_operation_xyz
'x,y,z'
loop_
_atom_site_label
_atom_site_type_symbol
_atom_site_fract_x
_atom_site_fract_y
_atom_site_fract_z
Sm1 Sm 0.101 0.663 0.000
Sm2 Sm 0.337 0.337 0.438
Sm3 Sm 0.663 0.101 0.000
Sm4 Sm 0.899 0.899 0.562
C1 C 0.000 0.000 0.000
O1 O 0.000 0.500 0.500
O2 O 0.275 0.275 0.000
O3 O 0.500 0.000 0.500
O4 O 0.725 0.725 0.000
```

=====

No. 3
First-principles (PBE-GGA) data for a relaxed Sm2CO crystal, as listed in Alexandria.

Results
Its total energy is -7.47 eV/atom. Its crystal system is monoclinic. The value obtained for the mass density is 8.10 Mg/m³. The uncorrected formation energy is -1563 meV/atom. The energy above the most stable polymorph in this dataset comes out at 0.0 meV per atom.

Cell and atoms, written as CIF:
```
data_Sm2CO
_space_group_name_H-M_alt 'P 1'
_space_group_IT_number 1
_cell_length_a 8.093
_cell_length_b 8.093
_cell_length_c 6.281
_cell_angle_alpha 104.81
_cell_angle_beta 104.81
_cell_angle_gamma 126.96
loop_
_space_group_symop_operation_xyz
'x,y,z'
loop_
_atom_site_label
_atom_site_type_symbol
_atom_site_fract_x
_atom_site_fract_y
_atom_site_fract_z
Sm1 Sm 0.063 0.438 0.755
Sm2 Sm 0.185 0.310 0.245
Sm3 Sm 0.310 0.185 0.745
Sm4 Sm 0.438 0.063 0.255
Sm5 Sm 0.562 0.937 0.745
Sm6 Sm 0.690 0.815 0.255
Sm7 Sm 0.815 0.690 0.755
Sm8 Sm 0.937 0.562 0.245
C1 C 0.063 0.937 0.250
C2 C 0.313 0.687 0.250
C3 C 0.687 0.313 0.750
C4 C 0.937 0.063 0.750
O1 O 0.186 0.814 0.750
O2 O 0.439 0.561 0.750
O3 O 0.561 0.439 0.250
O4 O 0.814 0.186 0.250
```